Here is a geometry-optimized TaCoPO structure from OQMD. Energies are from GGA+U.

Cell: 3.481 3.481 7.447 Å, 90.00 90.00 90.00°
Space group P4/nmm (No. 129, origin choice 2)
Unique sites:
Ta: 0.250 0.250 0.179 (multiplicity 2)
Co: 0.250 0.750 0.500 (multiplicity 2)
P: 0.250 0.250 0.676 (multiplicity 2)
O: 0.250 0.750 0.000 (multiplicity 2)

magnetic moment	0.7	μB/f.u.
total DFT energy (no corrections)	-7.835	eV per atom
energy above the most stable polymorph in this dataset	0.00	eV per formula unit
calculated volume	90.2	Å³/cell